AcPuFeO6 (PBE+U, optimized geometry); ρ = 7.5 g cm⁻³; DOS(E_F) = 7.50 states/eV/f.u.; electronic total energy = -76.50 eV for the cell shown
1.0
5.435 0.000 0.000
-2.717 4.707 0.000
0.000 0.000 5.404
Ac Pu Fe O
1 1 1 6
Direct
0.000 0.000 0.000 Ac
0.667 0.333 0.500 Pu
0.333 0.667 0.500 Fe
0.003 0.369 0.709 O
0.003 0.634 0.291 O
0.366 0.369 0.291 O
0.366 0.997 0.709 O
0.631 0.634 0.709 O
0.631 0.997 0.291 O